First-principles (PBE with a Hubbard U) data for a geometry-optimized FeBO2 structure, as listed in Alexandria.

* theoretical density: 4.56 Mg/m³
* E_tot: -7.09 eV/atom
* magnetic moment: 1.00 μB/atom

Lattice parameters (Å, degrees): 5.6975 4.3980 6.3266 90.00 115.07 90.00
Closest atoms and distances in Å follow each position.
Space group P2_1/c (No. 14)
Asymmetric unit:
Fe 0.1190 0.1909 0.3969 (multiplicity 4)  6 O 2.12-2.33
B 0.4335 0.5842 0.5954 (multiplicity 4)  3 O 1.50-1.60
O 0.1644 0.7142 0.4630 (multiplicity 4)  1 B 1.51
O 0.3861 0.1822 0.2443 (multiplicity 4)  2 B 1.50-1.60